No. 1
Crystalline LaTb8Nd6 at its relaxed geometry, computed with PBE.

Cell: 9.1813 9.1813 21.0230 Å, 90.00 90.00 120.00°
Space group R-3 (No. 148, hexagonal axes)
Symmetry-distinct sites (fractional):
La (0.0000, 0.0000, 0.0000) x3
Tb (0.0000, 0.0000, 0.4233) x6
Tb (0.0799, 0.5554, 0.8080) x18
Nd (0.0588, 0.2461, 0.7097) x18

Values from the calculation:
Calculated formation energy   11.9 kJ/mol of atoms
Crystal system   trigonal

=====

No. 2
Crystalline Mg17Zn11Ge at its relaxed geometry, computed with PBE.

Cell: 10.2105 14.2612 8.9273 Å, 90.00 122.84 90.00°
Space group Cm (No. 8)
Symmetry-distinct sites (fractional):
Mg (0.0000, 0.0000, 0.0000) x2
Mg (0.0040, 0.3219, 0.6770) x4
Mg (0.0190, 0.3415, 0.0765) x4
Mg (0.1328, 0.1542, 0.2849) x4
Mg (0.1740, 0.5000, 0.6736) x2
Mg (0.1852, 0.5000, 0.3408) x2
Mg (0.1920, 0.1977, 0.9943) x4
Mg (0.2154, 0.1401, 0.6761) x4
Mg (0.2803, 0.0000, 0.9724) x2
Mg (0.3770, 0.3016, 0.3563) x4
Mg (0.4949, 0.5000, 0.3870) x2
Zn (0.1791, 0.3151, 0.4976) x4
Zn (0.2731, 0.4059, 0.0474) x4
Zn (0.3183, 0.0000, 0.4960) x2
Zn (0.3558, 0.3130, 0.8587) x4
Zn (0.4152, 0.0950, 0.3132) x4
Zn (0.4536, 0.4083, 0.6763) x4
Ge (0.4856, 0.0000, 0.8472) x2

Values from the calculation:
Calculated formation energy   -6.3 kJ/mol of atoms
Crystal system   monoclinic